# CuIrAu2I (PBE, relaxed)
data_CuIrAu2I
_chemical_formula_sum 'Cu1 Ir1 Au2 I1'
_cell_length_a 5.255
_cell_length_b 5.255
_cell_length_c 4.667
_cell_angle_alpha 90.00
_cell_angle_beta 90.00
_cell_angle_gamma 90.00
_space_group_name_H-M_alt 'P 4/m m m'
_space_group_IT_number 123
_space_group_name_Hall '-P 4 2'
loop_
_atom_site_label
_atom_site_fract_x
_atom_site_fract_y
_atom_site_fract_z
_atom_site_occupancy
Cu1 0.000 0.000 0.000 1
Ir1 0.500 0.500 0.000 1
Au1 0.000 0.500 0.500 1
I1 0.000 0.000 0.500 1
# E_tot = -12.35 eV per cell
# formation energy from raw total energies = 168.13 kJ/mol of atoms